Record 1
{"formula": "TaSbI2O", "functional": "PBE", "state": "relaxed", "lattice_angstrom": [[-2.435, 2.122, -5.121], [4.399, -2.663, -3.196], [-2.225, -3.302, -0.310]], "species": ["I", "O", "I", "Sb", "Ta"], "fractional_positions": [[0.500, 0.000, 0.000], [0.000, 0.000, 0.500], [0.000, 0.500, 0.000], [0.000, 0.000, 0.000], [0.500, 0.500, 0.500]], "e_tot_ev_per_cell": -20.5, "rho_g_cm3": 6.494, "e_form_raw_kj_per_mol_atoms": 68.33, "e_above_lowest_polymorph_ev_per_atom": 1.051}

=====

Record 2
{"formula": "SbTeI2O", "functional": "PBE", "state": "relaxed", "lattice_angstrom": [[6.215, 0.000, 0.000], [0.000, 6.215, 0.000], [0.000, 0.000, 4.033]], "species": ["Sb", "I", "O", "Te", "I"], "fractional_positions": [[0.500, 0.500, 0.500], [0.000, 0.500, 0.000], [0.000, 0.000, 0.500], [0.000, 0.000, 0.000], [0.500, 0.000, 0.000]], "e_tot_ev_per_cell": -14.8, "rho_g_cm3": 5.533, "e_form_raw_kj_per_mol_atoms": 10.79, "e_above_lowest_polymorph_ev_per_atom": 0.138}

=====

Record 3
{"formula": "SbTeI2O", "functional": "PBE", "state": "relaxed", "lattice_angstrom": [[5.285, 0.000, 0.000], [0.000, 5.285, 0.000], [0.000, 0.000, 4.648]], "species": ["Te", "I", "Sb", "O", "I"], "fractional_positions": [[0.000, 0.000, 0.500], [0.000, 0.500, 0.000], [0.500, 0.500, 0.500], [0.000, 0.000, 0.000], [0.500, 0.000, 0.000]], "e_tot_ev_per_cell": -13.3, "rho_g_cm3": 6.640, "e_form_raw_kj_per_mol_atoms": 38.54, "e_above_lowest_polymorph_ev_per_atom": 0.426}

=====

Record 4
{"formula": "SbTeI2O", "functional": "PBE", "state": "relaxed", "lattice_angstrom": [[5.987, 0.000, 0.000], [0.000, 5.987, 0.000], [0.000, 0.000, 6.096]], "species": ["I", "Te", "I", "O", "Sb"], "fractional_positions": [[0.000, 0.500, 0.000], [0.000, 0.000, 0.000], [0.500, 0.000, 0.000], [0.500, 0.500, 0.500], [0.000, 0.000, 0.500]], "e_tot_ev_per_cell": -11.0, "rho_g_cm3": 3.945, "e_form_raw_kj_per_mol_atoms": 83.00, "e_above_lowest_polymorph_ev_per_atom": 0.887}

=====

Record 5
{"formula": "SbTeI2O", "functional": "PBE", "state": "relaxed", "lattice_angstrom": [[6.176, 0.000, 0.000], [0.000, 6.176, 0.000], [0.000, 0.000, 4.057]], "species": ["Sb", "Te", "I", "O", "I"], "fractional_positions": [[0.000, 0.000, 0.000], [0.500, 0.500, 0.500], [0.500, 0.000, 0.000], [0.000, 0.000, 0.500], [0.000, 0.500, 0.000]], "e_tot_ev_per_cell": -15.5, "rho_g_cm3": 5.572, "e_form_raw_kj_per_mol_atoms": -2.54, "e_above_lowest_polymorph_ev_per_atom": 0.000}

=====

Record 6
{"formula": "SbTe2IO", "functional": "PBE", "state": "relaxed", "lattice_angstrom": [[-4.247, 0.444, -1.602], [-0.980, -4.219, 1.430], [-1.875, 2.339, 5.618]], "species": ["Sb", "O", "I", "Te", "Te"], "fractional_positions": [[0.500, 0.500, 0.500], [0.000, 0.000, 0.000], [0.000, 0.000, 0.500], [0.000, 0.500, 0.000], [0.500, 0.000, 0.000]], "e_tot_ev_per_cell": -16.0, "rho_g_cm3": 6.517, "e_form_raw_kj_per_mol_atoms": 18.01, "e_above_lowest_polymorph_ev_per_atom": 0.000}

=====

Record 7
{"formula": "SbTeI2O", "functional": "PBE", "state": "relaxed", "lattice_angstrom": [[5.912, 0.000, 0.000], [0.000, 5.912, 0.000], [0.000, 0.000, 5.917]], "species": ["O", "I", "I", "Te", "Sb"], "fractional_positions": [[0.500, 0.500, 0.500], [0.000, 0.500, 0.000], [0.500, 0.000, 0.000], [0.000, 0.000, 0.500], [0.000, 0.000, 0.000]], "e_tot_ev_per_cell": -10.8, "rho_g_cm3": 4.169, "e_form_raw_kj_per_mol_atoms": 86.96, "e_above_lowest_polymorph_ev_per_atom": 0.928}

=====

Record 8
{"formula": "SbTe2IO", "functional": "PBE", "state": "relaxed", "lattice_angstrom": [[-1.396, 4.608, 3.339], [-4.861, 0.822, -3.167], [-3.033, -3.612, 3.717]], "species": ["Te", "Sb", "O", "I", "Te"], "fractional_positions": [[0.500, 0.000, 0.000], [0.000, 0.000, 0.500], [0.500, 0.500, 0.500], [0.000, 0.000, 0.000], [0.000, 0.500, 0.000]], "e_tot_ev_per_cell": -10.0, "rho_g_cm3": 4.187, "e_form_raw_kj_per_mol_atoms": 133.49, "e_above_lowest_polymorph_ev_per_atom": 1.197}

=====

Record 9
{"formula": "SbTeIO2", "functional": "PBE", "state": "relaxed", "lattice_angstrom": [[-1.338, 3.692, 1.384], [-3.740, -1.652, 0.791], [2.177, -1.722, 6.695]], "species": ["I", "O", "Sb", "O", "Te"], "fractional_positions": [[0.000, 0.000, 0.500], [0.500, 0.000, 0.000], [0.000, 0.000, 0.000], [0.000, 0.500, 0.000], [0.500, 0.500, 0.500]], "e_tot_ev_per_cell": -19.7, "rho_g_cm3": 5.394, "e_form_raw_kj_per_mol_atoms": -19.25, "e_above_lowest_polymorph_ev_per_atom": 0.000}

=====

Record 10
{"formula": "SbTeI2O", "functional": "PBE", "state": "relaxed", "lattice_angstrom": [[-3.714, 3.258, -1.810], [1.640, -0.867, -4.924], [-3.009, -3.632, -0.363]], "species": ["I", "Te", "Sb", "O", "I"], "fractional_positions": [[0.500, 0.000, 0.000], [0.500, 0.500, 0.500], [0.000, 0.000, 0.500], [0.000, 0.000, 0.000], [0.000, 0.500, 0.000]], "e_tot_ev_per_cell": -13.4, "rho_g_cm3": 6.582, "e_form_raw_kj_per_mol_atoms": 36.98, "e_above_lowest_polymorph_ev_per_atom": 0.410}

=====

Record 11
{"formula": "SbTeIO2", "functional": "PBE", "state": "relaxed", "lattice_angstrom": [[-1.210, 3.305, 2.283], [-1.213, -2.574, 3.083], [7.012, 0.420, 3.109]], "species": ["O", "Te", "O", "Sb", "I"], "fractional_positions": [[0.500, 0.000, 0.000], [0.000, 0.000, 0.000], [0.000, 0.500, 0.000], [0.500, 0.500, 0.500], [0.000, 0.000, 0.500]], "e_tot_ev_per_cell": -18.7, "rho_g_cm3": 5.014, "e_form_raw_kj_per_mol_atoms": 0.29, "e_above_lowest_polymorph_ev_per_atom": 0.203}

=====

Record 12
{"formula": "SbTe2IO", "functional": "PBE", "state": "relaxed", "lattice_angstrom": [[5.782, 0.000, 0.000], [0.000, 5.782, 0.000], [0.000, 0.000, 5.995]], "species": ["Te", "O", "Te", "I", "Sb"], "fractional_positions": [[0.000, 0.500, 0.000], [0.500, 0.500, 0.500], [0.500, 0.000, 0.000], [0.000, 0.000, 0.500], [0.000, 0.000, 0.000]], "e_tot_ev_per_cell": -12.5, "rho_g_cm3": 4.306, "e_form_raw_kj_per_mol_atoms": 85.47, "e_above_lowest_polymorph_ev_per_atom": 0.699}

=====

Record 13
{"formula": "TiSbI2O", "functional": "PBE", "state": "relaxed", "lattice_angstrom": [[-1.239, 4.685, -1.543], [-1.695, 1.089, 4.669], [4.170, 1.487, 1.167]], "species": ["Ti", "I", "O", "I", "Sb"], "fractional_positions": [[0.500, 0.500, 0.500], [0.000, 0.500, 0.000], [0.000, 0.000, 0.000], [0.500, 0.000, 0.000], [0.000, 0.000, 0.500]], "e_tot_ev_per_cell": -17.8, "rho_g_cm3": 6.162, "e_form_raw_kj_per_mol_atoms": 43.76, "e_above_lowest_polymorph_ev_per_atom": 1.208}

=====

Record 14
{"formula": "TiSbI2O", "functional": "PBE", "state": "relaxed", "lattice_angstrom": [[-3.110, 0.434, 4.284], [-4.228, -1.308, -2.937], [0.837, -5.265, 1.140]], "species": ["I", "O", "Sb", "I", "Ti"], "fractional_positions": [[0.500, 0.000, 0.000], [0.500, 0.500, 0.500], [0.000, 0.000, 0.500], [0.000, 0.500, 0.000], [0.000, 0.000, 0.000]], "e_tot_ev_per_cell": -17.8, "rho_g_cm3": 4.745, "e_form_raw_kj_per_mol_atoms": 43.79, "e_above_lowest_polymorph_ev_per_atom": 1.208}